w.
{"formula": "Mn3NiI", "functional": "GGA-PBE", "state": "optimized geometry", "lattice": [[4.774, 0.000, 0.000], [0.000, 4.774, 0.000], [0.000, 0.000, 4.774]], "species": ["Mn", "Mn", "Mn", "Ni", "I"], "fractional_positions": [[0.000, 0.000, 0.500], [0.000, 0.500, 0.000], [0.500, 0.000, 0.000], [0.500, 0.500, 0.500], [0.000, 0.000, 0.000]], "n_ef_per_ev_fu": 4.9, "m_tot_mub_per_fu": 10.311, "density_g_cm3": 5.3}

x.
{"formula": "Mn3NiI", "functional": "GGA-PBE", "state": "optimized geometry", "lattice": [[4.657, 0.000, 0.000], [0.000, 4.657, 0.000], [0.000, 0.000, 4.657]], "species": ["Mn", "Mn", "Mn", "Ni", "I"], "fractional_positions": [[0.000, 0.000, 0.500], [0.000, 0.500, 0.000], [0.500, 0.000, 0.000], [0.000, 0.000, 0.000], [0.500, 0.500, 0.500]], "n_ef_per_ev_fu": 2.6, "m_tot_mub_per_fu": 12.379, "density_g_cm3": 5.8}

Most stable pick: x. Distance to second place: 964 meV/atom.

w.
{"formula": "MnNiI3", "functional": "GGA-PBE", "state": "optimized geometry", "lattice": [[5.602, 0.000, 0.000], [0.000, 5.602, 0.000], [0.000, 0.000, 5.602]], "species": ["Mn", "Ni", "I", "I", "I"], "fractional_positions": [[0.000, 0.000, 0.000], [0.500, 0.500, 0.500], [0.000, 0.000, 0.500], [0.000, 0.500, 0.000], [0.500, 0.000, 0.000]], "n_ef_per_ev_fu": 18.4, "m_tot_mub_per_fu": 5.903, "density_g_cm3": 4.7}

x.
{"formula": "MnNiI3", "functional": "GGA-PBE", "state": "optimized geometry", "lattice": [[5.308, 0.000, 0.000], [0.000, 5.308, 0.000], [0.000, 0.000, 5.308]], "species": ["Mn", "Ni", "I", "I", "I"], "fractional_positions": [[0.000, 0.000, 0.000], [0.500, 0.500, 0.500], [0.000, 0.500, 0.500], [0.500, 0.000, 0.500], [0.500, 0.500, 0.000]], "n_ef_per_ev_fu": 3.5, "m_tot_mub_per_fu": 5.286, "density_g_cm3": 5.5}

Most stable pick: x. Distance to second place: 188 meV/atom.